# 1
Below is an optimized crystal structure of HoAs3Ru5, with properties calculated at the PBE level.

Calculated formation energy ... -0.19 eV/atom
N(E_F) ... 14.75 states/eV/cell

Cell lengths 3.1166, 6.8065, 14.2571 Å; angles 90.00, 90.00, 103.23 degrees
Element x y z (fractional)
Ru  0.5137  0.0274  0.6559
Ru  0.1900  0.3801  0.9141
As  0.6356  0.2712  0.0508
Ru  0.1900  0.3801  0.5859
As  0.6356  0.2712  0.4492
As  0.3644  0.7288  0.9492
Ru  0.8100  0.6199  0.0859
As  0.1253  0.2506  0.7500
Ru  0.0000  0.0000  0.0000
Ru  0.4863  0.9726  0.1559
Ru  0.5137  0.0274  0.8441
As  0.8747  0.7494  0.2500
Ru  0.4863  0.9726  0.3441
Ru  0.0000  0.0000  0.5000
Ho  0.1595  0.3189  0.2500
Ho  0.8405  0.6811  0.7500
Ru  0.8100  0.6199  0.4141
As  0.3644  0.7288  0.5508

=====

# 2
Below is an optimized crystal structure of LaPm3Ru, with properties calculated at the PBE level.

Calculated formation energy ... -0.11 eV/atom
E above lowest polymorph ... 71.5 meV/atom
N(E_F) ... 11.59 states/eV/cell

Cell lengths 7.5507, 7.5507, 7.5507 Å; angles 101.92, 120.04, 107.03 degrees
Element x y z (fractional)
Ru  0.5331  0.0315  0.0016
Pm  0.5322  0.7419  0.7107
Pm  0.5322  0.3215  0.2903
Pm  0.0311  0.2419  0.7097
Pm  0.0311  0.8215  0.2893
Pm  0.0504  0.7822  0.7682
La  0.5049  0.7812  0.2237
Ru  0.0299  0.5315  0.9984
La  0.5576  0.2812  0.7763
Pm  0.0140  0.2822  0.2318

=====

# 3
Below is an optimized crystal structure of KAcIr, with properties calculated at the PBE level.

Calculated formation energy ... -0.09 eV/atom
N(E_F) ... 3.66 states/eV/cell

Cell lengths 4.1753, 12.3183, 5.5404 Å; angles 92.67, 112.14, 90.00 degrees
Element x y z (fractional)
Ac  0.1241  0.3999  0.2482
K  0.6232  0.8570  0.2464
Ir  0.4058  0.4177  0.8116
Ir  0.5942  0.5823  0.1884
Ac  0.8759  0.6001  0.7518
K  0.3768  0.1430  0.7536

=====

# 4
Below is an optimized crystal structure of TbPaZnCu, with properties calculated at the PBE level.

Calculated formation energy ... 0.05 eV/atom
N(E_F) ... 6.56 states/eV/cell

Cell lengths 4.9657, 4.9657, 4.9657 Å; angles 60.00, 60.00, 60.00 degrees
Each line ends with the local moment (μB).
Element x y z (fractional)
Cu  0.5000  0.5000  0.5000  0.06
Zn  0.0000  0.0000  0.0000  0.01
Tb  0.7500  0.7500  0.7500  0.25
Pa  0.2500  0.2500  0.2500  0.61